P | The following is a DFT calculation (PBE) of a relaxed structure of SmSnMo.

Results
Space-group type: F-43m (216)
Magnetic moment in μB/cell: 3.50

Lattice parameters (Å, degrees): 6.770 6.770 6.770 90.00 90.00 90.00
Atoms (fractional coordinates):
Sm 0.000 0.000 0.000
Sm 0.000 0.500 0.500
Sm 0.500 0.000 0.500
Sm 0.500 0.500 0.000
Sn 0.000 0.000 0.500
Sn 0.000 0.500 0.000
Sn 0.500 0.000 0.000
Sn 0.500 0.500 0.500
Mo 0.250 0.250 0.250
Mo 0.250 0.750 0.750
Mo 0.750 0.250 0.750
Mo 0.750 0.750 0.250

---

Q | The following is a DFT calculation (PBE) of a relaxed structure of SmSnMo.

Results
Space-group type: F-43m (216)
Magnetic moment in μB/cell: 14.65

Lattice parameters (Å, degrees): 7.087 7.087 7.087 90.00 90.00 90.00
Atoms (fractional coordinates):
Sm 0.000 0.000 0.000
Sm 0.000 0.500 0.500
Sm 0.500 0.000 0.500
Sm 0.500 0.500 0.000
Sn 0.250 0.250 0.250
Sn 0.250 0.750 0.750
Sn 0.750 0.250 0.750
Sn 0.750 0.750 0.250
Mo 0.250 0.250 0.750
Mo 0.250 0.750 0.250
Mo 0.750 0.250 0.250
Mo 0.750 0.750 0.750

---

P is the most stable structure; the next one sits 54.5 kJ/mol of atoms above it.

---

P | The following is a DFT calculation (PBE) of a relaxed structure of SmMoW.

Results
Space-group type: F-43m (216)
Magnetic moment in μB/cell: 0.03

Lattice parameters (Å, degrees): 6.499 6.499 6.499 90.00 90.00 90.00
Atoms (fractional coordinates):
Sm 0.000 0.000 0.000
Sm 0.000 0.500 0.500
Sm 0.500 0.000 0.500
Sm 0.500 0.500 0.000
Mo 0.250 0.250 0.750
Mo 0.250 0.750 0.250
Mo 0.750 0.250 0.250
Mo 0.750 0.750 0.750
W 0.250 0.250 0.250
W 0.250 0.750 0.750
W 0.750 0.250 0.750
W 0.750 0.750 0.250

---

Q | The following is a DFT calculation (PBE) of a relaxed structure of SmMoW.

Results
Space-group type: F-43m (216)
Magnetic moment in μB/cell: 0.09

Lattice parameters (Å, degrees): 6.462 6.462 6.462 90.00 90.00 90.00
Atoms (fractional coordinates):
Sm 0.000 0.000 0.000
Sm 0.000 0.500 0.500
Sm 0.500 0.000 0.500
Sm 0.500 0.500 0.000
Mo 0.000 0.000 0.500
Mo 0.000 0.500 0.000
Mo 0.500 0.000 0.000
Mo 0.500 0.500 0.500
W 0.250 0.250 0.750
W 0.250 0.750 0.250
W 0.750 0.250 0.250
W 0.750 0.750 0.750

---

Q is the most stable structure; the next one sits 109.1 kJ/mol of atoms above it.

---

P | The following is a DFT calculation (PBE) of a relaxed structure of SmZnMo.

Results
Space-group type: F-43m (216)
Magnetic moment in μB/cell: 3.97

Lattice parameters (Å, degrees): 6.470 6.470 6.470 90.00 90.00 90.00
Atoms (fractional coordinates):
Sm 0.000 0.000 0.000
Sm 0.000 0.500 0.500
Sm 0.500 0.000 0.500
Sm 0.500 0.500 0.000
Zn 0.250 0.250 0.750
Zn 0.250 0.750 0.250
Zn 0.750 0.250 0.250
Zn 0.750 0.750 0.750
Mo 0.000 0.000 0.500
Mo 0.000 0.500 0.000
Mo 0.500 0.000 0.000
Mo 0.500 0.500 0.500

---

Q | The following is a DFT calculation (PBE) of a relaxed structure of SmZnMo.

Results
Space-group type: F-43m (216)
Magnetic moment in μB/cell: 11.97

Lattice parameters (Å, degrees): 6.759 6.759 6.759 90.00 90.00 90.00
Atoms (fractional coordinates):
Sm 0.000 0.000 0.000
Sm 0.000 0.500 0.500
Sm 0.500 0.000 0.500
Sm 0.500 0.500 0.000
Zn 0.250 0.250 0.250
Zn 0.250 0.750 0.750
Zn 0.750 0.250 0.750
Zn 0.750 0.750 0.250
Mo 0.250 0.250 0.750
Mo 0.250 0.750 0.250
Mo 0.750 0.250 0.250
Mo 0.750 0.750 0.750

---

P is the most stable structure; the next one sits 52.1 kJ/mol of atoms above it.

---

P | The following is a DFT calculation (PBE) of a relaxed structure of SmZrMo.

Results
Space-group type: F-43m (216)
Magnetic moment in μB/cell: 2.13

Lattice parameters (Å, degrees): 6.674 6.674 6.674 90.00 90.00 90.00
Atoms (fractional coordinates):
Sm 0.000 0.000 0.000
Sm 0.000 0.500 0.500
Sm 0.500 0.000 0.500
Sm 0.500 0.500 0.000
Zr 0.250 0.250 0.250
Zr 0.250 0.750 0.750
Zr 0.750 0.250 0.750
Zr 0.750 0.750 0.250
Mo 0.250 0.250 0.750
Mo 0.250 0.750 0.250
Mo 0.750 0.250 0.250
Mo 0.750 0.750 0.750

---

Q | The following is a DFT calculation (PBE) of a relaxed structure of SmZrMo.

Results
Space-group type: F-43m (216)
Magnetic moment in μB/cell: 0.11

Lattice parameters (Å, degrees): 6.687 6.687 6.687 90.00 90.00 90.00
Atoms (fractional coordinates):
Sm 0.000 0.000 0.000
Sm 0.000 0.500 0.500
Sm 0.500 0.000 0.500
Sm 0.500 0.500 0.000
Zr 0.250 0.250 0.750
Zr 0.250 0.750 0.250
Zr 0.750 0.250 0.250
Zr 0.750 0.750 0.750
Mo 0.000 0.000 0.500
Mo 0.000 0.500 0.000
Mo 0.500 0.000 0.000
Mo 0.500 0.500 0.500

---

Q is the most stable structure; the next one sits 37.9 kJ/mol of atoms above it.

---

P | The following is a DFT calculation (PBE) of a relaxed structure of SnMo.

Results
Space-group type: Fm-3m (225)
Magnetic moment in μB/cell: 7.11

Lattice parameters (Å, degrees): 5.567 5.567 5.567 90.00 90.00 90.00
Atoms (fractional coordinates):
Sn 0.000 0.000 0.000
Sn 0.000 0.500 0.500
Sn 0.500 0.000 0.500
Sn 0.500 0.500 0.000
Mo 0.000 0.000 0.500
Mo 0.000 0.500 0.000
Mo 0.500 0.000 0.000
Mo 0.500 0.500 0.500

---

Q | The following is a DFT calculation (PBE) of a relaxed structure of SnMo.

Results
Space-group type: P-6m2 (187)
Magnetic moment in μB/cell: 0.00

Lattice parameters (Å, degrees): 3.212 3.212 4.241 90.00 90.00 120.00
Atoms (fractional coordinates):
Sn 0.000 0.000 0.000
Mo 0.333 0.667 0.500

---

R | The following is a DFT calculation (PBE) of a relaxed structure of SnMo.

Results
Space-group type: F-43m (216)
Magnetic moment in μB/cell: 8.01

Lattice parameters (Å, degrees): 6.252 6.252 6.252 90.00 90.00 90.00
Atoms (fractional coordinates):
Sn 0.000 0.000 0.000
Sn 0.000 0.500 0.500
Sn 0.500 0.000 0.500
Sn 0.500 0.500 0.000
Mo 0.250 0.250 0.250
Mo 0.250 0.750 0.750
Mo 0.750 0.250 0.750
Mo 0.750 0.750 0.250

---

Q is the most stable structure; the next one sits 51.2 kJ/mol of atoms above it.

---

P | The following is a DFT calculation (PBE) of a relaxed structure of SnMo2.

Results
Space-group type: Fd-3m (227)
Magnetic moment in μB/cell: 0.00

Lattice parameters (Å, degrees): 5.363 5.363 5.363 60.00 60.00 60.00
Atoms (fractional coordinates):
Sn 0.125 0.125 0.125
Sn 0.875 0.875 0.875
Mo 0.000 0.500 0.500
Mo 0.500 0.000 0.500
Mo 0.500 0.500 0.000
Mo 0.500 0.500 0.500

---

Q | The following is a DFT calculation (PBE) of a relaxed structure of SnMo2.

Results
Space-group type: Fd-3m (227)
Magnetic moment in μB/cell: 16.01

Lattice parameters (Å, degrees): 8.839 8.839 8.839 60.00 60.00 60.00
Atoms (fractional coordinates):
Sn 0.125 0.125 0.125
Sn 0.875 0.875 0.875
Mo 0.000 0.000 0.000
Mo 0.000 0.000 0.500
Mo 0.000 0.500 0.000
Mo 0.500 0.000 0.000

---

P is the most stable structure; the next one sits 279.6 kJ/mol of atoms above it.